Record 1
Computed, not measured: a geometry-optimized Li6TbTl6 structure at the PBE level of DFT.

energy = -2.558 eV/atom

Cell and atoms, written as extended XYZ:
```
13
Lattice="-2.964 4.826 4.879 2.964 -4.826 4.879 2.964 4.826 -4.879" Properties=species:S:1:pos:R:3 pbc="T T T"
Li 1.482 2.413 -2.439
Li 1.482 -2.413 2.439
Li 0.000 2.311 0.000
Li -1.482 2.413 2.439
Li 1.482 2.413 2.439
Li 0.000 7.340 0.000
Tb 2.964 0.000 0.000
Tl 0.000 0.000 1.708
Tl 2.964 3.261 0.000
Tl 2.964 0.000 3.300
Tl 0.000 4.826 1.579
Tl 0.000 1.565 4.879
Tl 0.000 0.000 8.050
```


Record 2
Computed, not measured: a geometry-optimized LiTb2Tl9 structure at the PBE level of DFT.

energy = -2.872 eV/atom

Cell and atoms, written as extended XYZ:
```
12
Lattice="4.769 0.000 0.000 0.000 4.769 0.000 0.000 0.000 14.241" Properties=species:S:1:pos:R:3 pbc="T T T"
Li 0.000 0.000 0.000
Tb 0.000 0.000 4.765
Tb 0.000 0.000 9.476
Tl 0.000 2.385 2.312
Tl 0.000 2.385 7.121
Tl 0.000 2.385 11.929
Tl 2.385 0.000 2.312
Tl 2.385 0.000 7.121
Tl 2.385 0.000 11.929
Tl 2.385 2.385 0.000
Tl 2.385 2.385 4.728
Tl 2.385 2.385 9.513
```


Record 3
Computed, not measured: a geometry-optimized Li3Tb2Tl2 structure at the PBE level of DFT.

energy = -3.044 eV/atom

Cell and atoms, written as extended XYZ:
```
14
Lattice="10.757 0.000 0.000 0.000 4.853 0.000 -2.134 0.000 6.272" Properties=species:S:1:pos:R:3 pbc="T T T"
Li 0.000 0.000 0.000
Li 0.211 0.000 2.690
Li 3.033 2.427 3.582
Li 5.378 2.427 0.000
Li 5.590 2.427 2.690
Li 8.411 0.000 3.582
Tb -0.019 2.427 4.828
Tb 3.263 0.000 1.443
Tb 5.359 0.000 4.828
Tb 8.642 2.427 1.443
Tl 1.066 2.427 1.539
Tl 2.178 0.000 4.732
Tl 6.445 0.000 1.539
Tl 7.557 2.427 4.732
```


Record 4
Computed, not measured: a geometry-optimized LiTb3Tl2 structure at the PBE level of DFT.

energy above the lowest structure with this stoichiometry = 0.0000 eV/atom

Cell and atoms, written as extended XYZ:
```
12
Lattice="5.327 0.000 0.000 -2.664 4.613 0.000 0.000 0.000 13.118" Properties=species:S:1:pos:R:3 pbc="T T T"
Li 0.000 3.076 2.249
Li 2.664 1.538 10.868
Tb 0.000 0.000 3.282
Tb 0.000 0.000 9.835
Tb 0.000 3.076 5.476
Tb 0.000 3.076 12.076
Tb 2.664 1.538 1.042
Tb 2.664 1.538 7.642
Tl 0.000 0.000 0.000
Tl 0.000 0.000 6.559
Tl 0.000 3.076 8.948
Tl 2.664 1.538 4.169
```


Record 5
Computed, not measured: a geometry-optimized LiTbTmTl structure at the PBE level of DFT.

energy = -3.530 eV/atom

Cell and atoms, written as extended XYZ:
```
16
Lattice="7.439 0.000 0.000 0.000 7.439 0.000 0.000 0.000 7.439" Properties=species:S:1:pos:R:3 pbc="T T T"
Li 0.000 0.000 0.000
Li 0.000 3.719 3.719
Li 3.719 0.000 3.719
Li 3.719 3.719 0.000
Tb 1.860 1.860 1.860
Tb 1.860 5.579 5.579
Tb 5.579 1.860 5.579
Tb 5.579 5.579 1.860
Tm 1.860 1.860 5.579
Tm 1.860 5.579 1.860
Tm 5.579 1.860 1.860
Tm 5.579 5.579 5.579
Tl 0.000 0.000 3.719
Tl 0.000 3.719 0.000
Tl 3.719 0.000 0.000
Tl 3.719 3.719 3.719
```


Record 6
Computed, not measured: a geometry-optimized Li2TbTm2Tl2 structure at the PBE level of DFT.

energy = -3.326 eV/atom

Cell and atoms, written as extended XYZ:
```
7
Lattice="2.404 1.388 8.835 -2.404 1.388 8.835 0.000 -2.776 8.835" Properties=species:S:1:pos:R:3 pbc="T T T"
Li 0.000 0.000 2.638
Li 0.000 0.000 23.867
Tb 0.000 0.000 13.252
Tm 0.000 0.000 9.863
Tm 0.000 0.000 16.642
Tl 0.000 0.000 6.347
Tl 0.000 0.000 20.158
```